Entry 1:
Compound: CaSc3
Source: Alexandria via LeMat-Bulk
Functional: meta-GGA SCAN
Structure: PBEsol geometry

Unit cell a=6.6778 b=9.5496 c=3.2933 alpha=90.00 beta=90.00 gamma=90.00
Last column: nearest neighbours and their distance in Å.
Space group Cmmm (No. 65)
Symmetry-distinct sites (fractional):
Ca 0.0000 0.0000 0.0000 x2  2 Ca 3.29, 10 Sc 3.34-3.35
Sc 0.0000 0.5000 0.0000 x2  10 Sc 3.29-3.35, 2 Ca 3.34
Sc 0.2500 0.2500 0.5000 x4  8 Sc 3.29-3.35, 4 Ca 3.35

The calculation puts the calculated total energy at -103.025 eV per cell. As for the volume: 210.02 Å³ per cell. The formation energy comes out at 20.80 kJ/mol of atoms. Its crystal system is orthorhombic.


Entry 2:
Compound: CaSc3
Source: Alexandria via LeMat-Bulk
Functional: meta-GGA SCAN
Structure: PBEsol geometry

Unit cell a=3.3243 b=5.3622 c=5.9302 alpha=90.00 beta=90.00 gamma=90.00
Last column: nearest neighbours and their distance in Å.
Space group Pmm2 (No. 25)
Symmetry-distinct sites (fractional):
Ca 0.0000 0.0000 0.0000 x1  2 Ca 3.32, 10 Sc 3.35-3.41
Sc 0.0000 0.5000 0.3382 x1  10 Sc 3.24-3.56, 2 Ca 3.35
Sc 0.5000 0.0000 0.5014 x1  8 Sc 3.24-3.32, 4 Ca 3.39-3.41
Sc 0.5000 0.5000 0.8071 x1  8 Sc 3.24-3.56, 4 Ca 3.36

The calculation puts the calculated total energy at -51.722 eV per cell. As for the volume: 105.71 Å³ per cell. The formation energy comes out at 15.74 kJ/mol of atoms. Its crystal system is orthorhombic.


Entry 3:
Compound: CaSc3
Source: Alexandria via LeMat-Bulk
Functional: meta-GGA SCAN
Structure: PBEsol geometry

Unit cell a=10.6597 b=10.6597 c=3.2174 alpha=90.00 beta=90.00 gamma=120.00
Last column: nearest neighbours and their distance in Å.
Space group R-3m (No. 166, hexagonal axes)
Symmetry-distinct sites (fractional):
Ca 0.0000 0.0000 0.0000 x3  2 Ca 3.22, 6 Sc 3.26
Sc 0.0000 0.5000 0.0000 x9  6 Sc 3.22-3.26, 2 Ca 3.26

The calculation puts the calculated total energy at -153.995 eV per cell. As for the volume: 316.61 Å³ per cell. The formation energy comes out at 25.16 kJ/mol of atoms. Its crystal system is trigonal.


Entry 4:
Compound: CaSc3
Source: Alexandria via LeMat-Bulk
Functional: meta-GGA SCAN
Structure: PBEsol geometry

Unit cell a=3.3564 b=3.3564 c=10.8306 alpha=90.00 beta=90.00 gamma=120.00
Last column: nearest neighbours and their distance in Å.
Space group P-6m2 (No. 187)
Symmetry-distinct sites (fractional):
Ca 0.0000 0.0000 0.0000 x1  6 Ca 3.36, 6 Sc 3.53
Sc 0.0000 0.0000 0.5000 x1  12 Sc 3.13-3.36
Sc 0.3333 0.6667 0.2728 x2  9 Sc 3.13-3.36

The calculation puts the calculated total energy at -51.847 eV per cell. As for the volume: 105.67 Å³ per cell. The formation energy comes out at 12.74 kJ/mol of atoms. Its crystal system is hexagonal.


Entry 5:
Compound: CaSc
Source: Alexandria via LeMat-Bulk
Functional: meta-GGA SCAN
Structure: PBEsol geometry

Unit cell a=3.4881 b=3.4881 c=11.4528 alpha=90.00 beta=90.00 gamma=120.00
Last column: nearest neighbours and their distance in Å.
Space group P-3m1 (No. 164)
Symmetry-distinct sites (fractional):
Ca 0.3333 0.6667 0.1437 x2  9 Ca 3.49-3.86, 3 Sc 3.52
Sc 0.3333 0.6667 0.6045 x2  9 Sc 3.13-3.49

The calculation puts the calculated total energy at -47.175 eV per cell. As for the volume: 120.67 Å³ per cell. As for the distance to the lowest polymorph of the same formula: 26 meV/atom. The formation energy comes out at 15.10 kJ/mol of atoms. Its crystal system is trigonal.


Entry 6:
Compound: CaSc3
Source: Alexandria via LeMat-Bulk
Functional: meta-GGA SCAN
Structure: PBEsol geometry

Unit cell a=7.5083 b=7.5083 c=7.5083 alpha=90.00 beta=90.00 gamma=90.00
Last column: nearest neighbours and their distance in Å.
Space group Fm-3m (No. 225)
Symmetry-distinct sites (fractional):
Ca 0.0000 0.0000 0.0000 x4  8 Sc 3.25
Sc 0.0000 0.0000 0.5000 x4  8 Sc 3.25
Sc 0.2500 0.2500 0.2500 x8  4 Ca 3.25, 4 Sc 3.25

The calculation puts the calculated total energy at -205.254 eV per cell. As for the volume: 423.27 Å³ per cell. The formation energy comes out at 25.60 kJ/mol of atoms. Its crystal system is cubic.


Entry 7:
Compound: CaSc2
Source: Alexandria via LeMat-Bulk
Functional: meta-GGA SCAN
Structure: PBEsol geometry

Unit cell a=3.3732 b=3.3732 c=8.4398 alpha=90.00 beta=90.00 gamma=120.00
Last column: nearest neighbours and their distance in Å.
Space group P-3m1 (No. 164)
Symmetry-distinct sites (fractional):
Ca 0.0000 0.0000 0.0000 x1  6 Ca 3.37, 6 Sc 3.57
Sc 0.3333 0.6667 0.6449 x2  9 Sc 3.13-3.37

The calculation puts the calculated total energy at -37.589 eV per cell. As for the volume: 83.16 Å³ per cell. As for the distance to the lowest polymorph of the same formula: 0 meV/atom. The formation energy comes out at 17.66 kJ/mol of atoms. Its crystal system is trigonal.


Entry 8:
Compound: CaSc3
Source: Alexandria via LeMat-Bulk
Functional: meta-GGA SCAN
Structure: PBEsol geometry

Unit cell a=3.7648 b=5.2254 c=10.8230 alpha=90.00 beta=90.00 gamma=90.00
Last column: nearest neighbours and their distance in Å.
Space group Cmmm (No. 65)
Symmetry-distinct sites (fractional):
Ca 0.0000 0.0000 0.0000 x2  4 Ca 3.22, 4 Sc 3.53
Sc 0.0000 0.0000 0.5000 x2  8 Sc 3.07-3.22
Sc 0.0000 0.5000 0.2754 x4  6 Sc 3.07-3.22

The calculation puts the calculated total energy at -103.220 eV per cell. As for the volume: 212.92 Å³ per cell. The formation energy comes out at 18.44 kJ/mol of atoms. Its crystal system is orthorhombic.


Entry 9:
Compound: CaScSe2
Source: Alexandria via LeMat-Bulk
Functional: meta-GGA SCAN
Structure: PBEsol geometry

Unit cell a=3.9324 b=3.9324 c=19.7265 alpha=90.00 beta=90.00 gamma=120.00
Last column: nearest neighbours and their distance in Å.
Space group R-3m (No. 166, hexagonal axes)
Symmetry-distinct sites (fractional):
Ca 0.0000 0.0000 0.0000 x3  6 Se 2.87
Sc 0.0000 0.0000 0.5000 x3  6 Se 2.74
Se 0.0000 0.0000 0.2440 x6  3 Sc 2.74, 3 Ca 2.87

The calculation puts the calculated total energy at -216.053 eV per cell. As for the volume: 264.18 Å³ per cell. As for the distance to the lowest polymorph of the same formula: 0 meV/atom. Its crystal system is trigonal. For the formation energy without anion corrections, the calculation gives -1.99 eV/atom.


Entry 10:
Compound: CaScSe2
Source: Alexandria via LeMat-Bulk
Functional: meta-GGA SCAN
Structure: PBEsol geometry

Unit cell a=6.2821 b=6.2821 c=12.1878 alpha=90.00 beta=90.00 gamma=90.00
Last column: nearest neighbours and their distance in Å.
Space group I-42d (No. 122)
Symmetry-distinct sites (fractional):
Ca 0.0000 0.0000 0.0000 x4  4 Se 2.80
Sc 0.0000 0.0000 0.5000 x4  4 Se 2.59
Se 0.2208 0.2500 0.6250 x8  2 Sc 2.59, 2 Ca 2.80

The calculation puts the calculated total energy at -282.589 eV per cell. As for the volume: 480.99 Å³ per cell. As for the distance to the lowest polymorph of the same formula: 343 meV/atom. Its crystal system is tetragonal. For the formation energy without anion corrections, the calculation gives -1.65 eV/atom.


Entry 11:
Compound: CaScSe2
Source: Alexandria via LeMat-Bulk
Functional: meta-GGA SCAN
Structure: PBEsol geometry

Unit cell a=3.9687 b=3.9687 c=5.5980 alpha=90.00 beta=90.00 gamma=90.00
Last column: nearest neighbours and their distance in Å.
Space group P4/mmm (No. 123)
Symmetry-distinct sites (fractional):
Ca 0.0000 0.0000 0.0000 x1  6 Se 2.80-2.81
Sc 0.5000 0.5000 0.5000 x1  6 Se 2.80-2.81
Se 0.0000 0.0000 0.5000 x1  2 Ca 2.80, 4 Sc 2.81
Se 0.5000 0.5000 0.0000 x1  2 Sc 2.80, 4 Ca 2.81

The calculation puts the calculated total energy at -71.839 eV per cell. As for the volume: 88.17 Å³ per cell. As for the distance to the lowest polymorph of the same formula: 45 meV/atom. Its crystal system is tetragonal. For the formation energy without anion corrections, the calculation gives -1.95 eV/atom.


Entry 12:
Compound: CaScSe2
Source: Alexandria via LeMat-Bulk
Functional: meta-GGA SCAN
Structure: PBEsol geometry

Unit cell a=3.6345 b=3.6926 c=13.4309 alpha=90.00 beta=90.00 gamma=90.00
Last column: nearest neighbours and their distance in Å.
Space group Imm2 (No. 44)
Symmetry-distinct sites (fractional):
Ca 0.0000 0.0000 0.0000 x2  6 Se 2.90-2.97
Sc 0.0000 0.5000 0.7527 x2  6 Se 2.72-2.80
Se 0.0000 0.0000 0.4029 x2  2 Sc 2.72, 4 Ca 2.90
Se 0.0000 0.5000 0.1731 x2  4 Sc 2.80, 2 Ca 2.97

The calculation puts the calculated total energy at -142.510 eV per cell. As for the volume: 180.26 Å³ per cell. As for the distance to the lowest polymorph of the same formula: 191 meV/atom. Its crystal system is orthorhombic. For the formation energy without anion corrections, the calculation gives -1.80 eV/atom.


Entry 13:
Compound: Ca2ScSe
Source: Alexandria via LeMat-Bulk
Functional: meta-GGA SCAN
Structure: PBEsol geometry

Unit cell a=3.9267 b=5.1580 c=5.1718 alpha=90.00 beta=90.00 gamma=90.00
Last column: nearest neighbours and their distance in Å.
Space group Pmmm (No. 47)
Symmetry-distinct sites (fractional):
Ca 0.0000 0.0000 0.0000 x1  4 Se 3.24, 4 Sc 3.25
Ca 0.0000 0.5000 0.5000 x1  4 Sc 3.24, 4 Se 3.25
Sc 0.5000 0.0000 0.5000 x1  8 Ca 3.24-3.25
Se 0.5000 0.5000 0.0000 x1  8 Ca 3.24-3.25

The calculation puts the calculated total energy at -55.026 eV per cell. As for the volume: 104.75 Å³ per cell. Its crystal system is orthorhombic. For the formation energy without anion corrections, the calculation gives -0.35 eV/atom.


Entry 14:
Compound: CaScSe2
Source: Alexandria via LeMat-Bulk
Functional: meta-GGA SCAN
Structure: PBEsol geometry

Unit cell a=6.9255 b=6.9255 c=6.9255 alpha=90.00 beta=90.00 gamma=90.00
Last column: nearest neighbours and their distance in Å.
Space group Fm-3m (No. 225)
Symmetry-distinct sites (fractional):
Ca 0.0000 0.0000 0.0000 x4  8 Se 3.00
Sc 0.0000 0.0000 0.5000 x4  8 Se 3.00
Se 0.2500 0.2500 0.2500 x8  4 Sc 3.00, 4 Ca 3.00

The calculation puts the calculated total energy at -281.018 eV per cell. As for the volume: 332.16 Å³ per cell. As for the distance to the lowest polymorph of the same formula: 441 meV/atom. Its crystal system is cubic. For the formation energy without anion corrections, the calculation gives -1.55 eV/atom.


Entry 15:
Compound: Ca2ScSe
Source: Alexandria via LeMat-Bulk
Functional: meta-GGA SCAN
Structure: PBEsol geometry

Unit cell a=3.7924 b=3.7924 c=28.6240 alpha=90.00 beta=90.00 gamma=120.00
Last column: nearest neighbours and their distance in Å.
Space group R-3m (No. 166, hexagonal axes)
Symmetry-distinct sites (fractional):
Ca 0.0000 0.0000 0.2305 x6  3 Se 2.85
Sc 0.0000 0.0000 0.0000 x3  6 Ca 3.67, 6 Sc 3.79
Se 0.0000 0.0000 0.5000 x3  6 Ca 2.85

The calculation puts the calculated total energy at -170.802 eV per cell. As for the volume: 356.52 Å³ per cell. Its crystal system is trigonal. For the formation energy without anion corrections, the calculation gives -0.82 eV/atom.